(1)
K3FeS3: optimized geometry, GGA-PBE.

Cell: 7.7158 8.7344 12.3166 Å, 97.79 90.00 90.00°
With the nearest neighbours (Å) after each atom.
Element x y z (fractional)
K 0.8410 0.9202 0.8708  5 S 3.16-3.36, 2 Fe 3.50-3.51
K 0.6590 0.9202 0.3708  5 S 3.16-3.36, 2 Fe 3.50-3.51
K 0.2194 0.6862 0.7108  5 S 3.13-3.32, 1 Fe 3.44
K 0.7270 0.6069 0.5784  5 S 3.19-3.51
K 0.2806 0.6862 0.2108  5 S 3.13-3.32, 1 Fe 3.44
K 0.7730 0.6069 0.0784  5 S 3.19-3.51
K 0.2270 0.3931 0.9216  5 S 3.19-3.51
K 0.7194 0.3138 0.7892  5 S 3.13-3.32, 1 Fe 3.44
K 0.2730 0.3931 0.4216  5 S 3.19-3.51
K 0.7806 0.3138 0.2892  5 S 3.13-3.32, 1 Fe 3.44
K 0.3410 0.0798 0.6292  5 S 3.16-3.36, 2 Fe 3.50-3.51
K 0.1590 0.0798 0.1292  5 S 3.16-3.36, 2 Fe 3.50-3.51
Fe 0.4207 0.8326 0.9519  4 S 2.24-2.38
Fe 0.0793 0.8326 0.4519  4 S 2.24-2.38
Fe 0.9207 0.1674 0.5481  4 S 2.24-2.38
Fe 0.5793 0.1674 0.0481  4 S 2.24-2.38
S 0.9402 0.9267 0.6179  2 Fe 2.36-2.38
S 0.5598 0.9267 0.1179  2 Fe 2.36-2.38
S 0.1477 0.7539 0.9778  1 Fe 2.25
S 0.3523 0.7539 0.4778  1 Fe 2.25
S 0.5658 0.6461 0.8470  1 Fe 2.24
S 0.9342 0.6461 0.3470  1 Fe 2.24
S 0.0658 0.3539 0.6530  1 Fe 2.24
S 0.4342 0.3539 0.1530  1 Fe 2.24
S 0.6477 0.2461 0.5222  1 Fe 2.25
S 0.8523 0.2461 0.0222  1 Fe 2.25
S 0.4402 0.0733 0.8821  2 Fe 2.36-2.38
S 0.0598 0.0733 0.3821  2 Fe 2.36-2.38

Output
- E above lowest polymorph (eV/f.u.) = 0.00
- uncorrected formation energy (eV per atom) = -0.93
- theoretical density (g/cm³) = 2.2
- DFT total energy (eV per atom) = -4.382
- space-group type = No. 14



(2)
NaAlAu2N: optimized geometry, GGA-PBE.

Cell: 4.4323 4.4994 4.4323 Å, 90.00 90.00 90.00°
With the nearest neighbours (Å) after each atom.
Element x y z (fractional)
Na 0.0000 0.5000 0.0000  2 N 2.25
Au 0.0000 0.0000 0.5000  2 N 2.22
Au 0.5000 0.0000 0.0000  2 N 2.22
Al 0.5000 0.5000 0.5000  4 Na 3.13, 8 Au 3.16
N 0.0000 0.0000 0.0000  4 Au 2.22, 2 Na 2.25

Output
- uncorrected formation energy (eV per atom) = 0.50
- theoretical density (g/cm³) = 8.6
- DFT total energy (eV per atom) = -3.486
- space-group type = No. 123



(3)
CrFe2Se: optimized geometry, GGA-PBE.

Cell: 3.0424 3.0428 5.3561 Å, 90.00 90.00 90.00°
With the nearest neighbours (Å) after each atom.
Element x y z (fractional)
Cr 0.5000 0.5000 0.7500  8 Fe 2.50, 2 Se 2.68
Fe 0.0000 0.0000 0.9880  4 Cr 2.50, 1 Fe 2.55, 4 Se 2.57
Fe 0.0000 0.0000 0.5120  4 Cr 2.50, 1 Fe 2.55, 4 Se 2.57
Se 0.5000 0.5000 0.2500  8 Fe 2.57, 2 Cr 2.68

Output
- E above lowest polymorph (eV/f.u.) = 0.38
- uncorrected formation energy (eV per atom) = 0.29
- theoretical density (g/cm³) = 8.1
- DFT total energy (eV per atom) = -7.221
- space-group type = No. 123



(4)
AlTe2F: optimized geometry, GGA-PBE.

Cell: 7.8656 7.8656 7.8656 Å, 30.61 30.61 30.61°
With the nearest neighbours (Å) after each atom.
Element x y z (fractional)
Te 0.8981 0.8981 0.8981  1 F 2.29
Te 0.1019 0.1019 0.1019  1 F 2.29
Al 0.5000 0.5000 0.5000  6 Te 2.80
F 0.0000 0.0000 0.0000  2 Te 2.29

Output
- E above lowest polymorph (eV/f.u.) = 0.00
- uncorrected formation energy (eV per atom) = -0.62
- theoretical density (g/cm³) = 4.5
- DFT total energy (eV per atom) = -3.595
- space-group type = No. 166



(5)
BaSrCa2Ag: optimized geometry, GGA-PBE.

Cell: 6.0153 6.0153 6.3814 Å, 90.00 90.00 90.00°
With the nearest neighbours (Å) after each atom.
Element x y z (fractional)
Sr 0.5000 0.5000 0.5000  4 Ba 4.25, 8 Ca 4.38
Ca 0.0000 0.5000 0.0000  2 Ag 3.01
Ca 0.5000 0.0000 0.0000  2 Ag 3.01
Ba 0.0000 0.0000 0.5000  2 Ag 3.19
Ag 0.0000 0.0000 0.0000  4 Ca 3.01, 2 Ba 3.19

Output
- E above lowest polymorph (eV/f.u.) = 0.11
- formation energy from the elements (eV/atom) = -0.07
- theoretical density (g/cm³) = 3.0
- DFT total energy (eV per atom) = -2.158
- space-group type = No. 123



(6)
RbBi3Te: optimized geometry, GGA-PBE.

Cell: 6.1221 6.1221 6.1221 Å, 90.00 90.00 90.00°
With the nearest neighbours (Å) after each atom.
Element x y z (fractional)
Te 0.5000 0.5000 0.5000  12 Bi 4.33
Bi 0.0000 0.5000 0.0000  2 Rb 3.06
Bi 0.0000 0.0000 0.5000  2 Rb 3.06
Bi 0.5000 0.0000 0.0000  2 Rb 3.06
Rb 0.0000 0.0000 0.0000  6 Bi 3.06

Output
- E above lowest polymorph (eV/f.u.) = 5.39
- uncorrected formation energy (eV per atom) = 1.36
- theoretical density (g/cm³) = 6.1
- DFT total energy (eV per atom) = -1.788
- space-group type = No. 221



(7)
NaSn3Pd2: optimized geometry, GGA-PBE.

Cell: 4.4309 9.0769 11.6961 Å, 112.02 90.00 104.13°
With the nearest neighbours (Å) after each atom.
Element x y z (fractional)
Na 0.1631 0.3261 0.7116  6 Sn 3.24-3.59, 4 Pd 3.31-3.62
Na 0.8369 0.6739 0.2884  6 Sn 3.24-3.59, 4 Pd 3.31-3.62
Na 0.0000 0.0000 0.0000  6 Pd 3.19-3.48, 4 Sn 3.22
Sn 0.0312 0.0624 0.3400  4 Pd 2.66-2.79
Sn 0.9688 0.9376 0.6600  4 Pd 2.66-2.79
Sn 0.2194 0.4387 0.3802  4 Pd 2.68-2.86
Sn 0.7806 0.5613 0.6198  4 Pd 2.68-2.86
Sn 0.6196 0.2392 0.1808  4 Pd 2.75-2.83
Sn 0.3804 0.7608 0.8192  4 Pd 2.75-2.83
Sn 0.5000 0.0000 0.5000  2 Pd 2.78, 4 Sn 3.08
Sn 0.3192 0.6383 0.0377  4 Pd 2.67-2.89
Sn 0.6808 0.3617 0.9623  4 Pd 2.67-2.89
Pd 0.1961 0.3923 0.1289  6 Sn 2.76-2.89
Pd 0.8039 0.6077 0.8711  6 Sn 2.76-2.89
Pd 0.4722 0.9443 0.2100  4 Sn 2.66-2.75
Pd 0.5278 0.0557 0.7900  4 Sn 2.66-2.75
Pd 0.3662 0.7323 0.5699  7 Sn 2.68-2.86
Pd 0.6338 0.2677 0.4301  7 Sn 2.68-2.86

Output
- E above lowest polymorph (eV/f.u.) = 0.00
- formation energy from the elements (eV/atom) = -0.36
- theoretical density (g/cm³) = 7.0
- DFT total energy (eV per atom) = -4.309
- space-group type = No. 12



(8)
Rb2GeAuI6: optimized geometry, GGA-PBE.

Cell: 8.2615 8.2615 8.2948 Å, 60.13 60.13 90.00°
With the nearest neighbours (Å) after each atom.
Element x y z (fractional)
I 0.2524 0.2524 0.4953  1 Ge 2.92, 1 Au 2.97
I 0.7476 0.7476 0.5047  1 Ge 2.92, 1 Au 2.97
I 0.2500 0.2500 0.0000  1 Ge 2.92, 1 Au 2.92
I 0.7500 0.7500 0.0000  1 Ge 2.92, 1 Au 2.92
I 0.7500 0.2500 0.0000  1 Ge 2.92, 1 Au 2.92
I 0.2500 0.7500 0.0000  1 Ge 2.92, 1 Au 2.92
Ge 0.5000 0.5000 0.0000  6 I 2.92
Au 0.0000 0.0000 0.0000  6 I 2.92-2.97
Rb 0.7500 0.2500 0.5000  12 I 4.13-4.15
Rb 0.2500 0.7500 0.5000  12 I 4.13-4.15

Output
- uncorrected formation energy (eV per atom) = -0.67
- theoretical density (g/cm³) = 5.0
- DFT total energy (eV per atom) = -2.585
- space-group type = No. 139



(9)
NaEuPd4: optimized geometry, GGA-PBE.

Cell: 5.4630 5.4630 5.4630 Å, 60.00 60.00 60.00°
With the nearest neighbours (Å) after each atom.
Element x y z (fractional)
Eu 0.2500 0.2500 0.2500  12 Pd 3.20, 4 Na 3.35
Na 0.0000 0.0000 0.0000  12 Pd 3.20, 4 Eu 3.35
Pd 0.6251 0.6251 0.1246  6 Pd 2.73
Pd 0.6251 0.1246 0.6251  6 Pd 2.73
Pd 0.6251 0.6251 0.6251  6 Pd 2.73
Pd 0.1246 0.6251 0.6251  6 Pd 2.73

Output
- formation energy from the elements (eV/atom) = -0.48
- theoretical density (g/cm³) = 8.7
- DFT total energy (eV per atom) = -5.877
- space-group type = No. 216



(10)
MgAg2Sn: optimized geometry, GGA-PBE.

Cell: 4.2917 4.2917 10.1856 Å, 77.84 77.84 90.00°
With the nearest neighbours (Å) after each atom.
Element x y z (fractional)
Mg 0.5000 0.5000 0.0000  4 Ag 2.86, 4 Sn 3.03
Mg 0.2500 0.7500 0.5000  4 Ag 2.86, 4 Sn 3.03
Sn 0.0000 0.0000 0.0000  4 Ag 2.87, 4 Mg 3.03
Sn 0.7500 0.2500 0.5000  4 Ag 2.87, 4 Mg 3.03
Ag 0.6245 0.1250 0.2500  2 Mg 2.86, 2 Sn 2.87, 4 Ag 3.03-3.04
Ag 0.1255 0.6250 0.2500  2 Mg 2.86, 2 Sn 2.87, 4 Ag 3.03-3.04
Ag 0.3750 0.3755 0.7500  2 Mg 2.86, 2 Sn 2.87, 4 Ag 3.03-3.04
Ag 0.8750 0.8745 0.7500  2 Mg 2.86, 2 Sn 2.87, 4 Ag 3.03-3.04

Output
- formation energy from the elements (eV/atom) = 0.08
- theoretical density (g/cm³) = 6.7
- DFT total energy (eV per atom) = -2.744
- space-group type = No. 122



(11)
U2Co2As3: optimized geometry, GGA-PBE.

Cell: 3.6975 6.8550 5.4048 Å, 64.27 110.00 105.65°
With the nearest neighbours (Å) after each atom.
Element x y z (fractional)
U 0.6837 0.8584 0.5086  2 U 2.61, 1 Co 2.80
U 0.3163 0.1416 0.4914  2 U 2.61, 1 Co 2.80
Co 0.6128 0.2654 0.9605  5 As 2.34-2.50
Co 0.3872 0.7346 0.0395  5 As 2.34-2.50
As 0.0000 0.0000 0.0000  4 Co 2.50
As 0.8721 0.5103 0.2333  3 Co 2.34-2.50
As 0.1279 0.4897 0.7667  3 Co 2.34-2.50

Output
- formation energy from the elements (eV/atom) = -0.35
- theoretical density (g/cm³) = 11.8
- DFT total energy (eV per atom) = -7.595
- space-group type = No. 12



(12)
Y8PPt3Se4: optimized geometry, GGA-PBE.

Cell: 8.0721 8.3796 8.0721 Å, 118.79 120.00 90.00°
With the nearest neighbours (Å) after each atom.
Element x y z (fractional)
Y 0.2449 0.7346 0.9897  2 Pt 2.85, 1 P 2.85, 3 Se 2.97
Y 0.2449 0.7346 0.4899  2 Pt 2.85, 1 P 2.85, 3 Se 2.97
Y 0.2558 0.2674 0.5116  3 Pt 2.84, 3 Se 2.98
Y 0.7447 0.7346 0.9897  2 Pt 2.85, 1 P 2.85, 3 Se 2.97
Y 0.2553 0.2654 0.0103  2 Pt 2.85, 1 P 2.85, 3 Se 2.97
Y 0.7442 0.7326 0.4884  3 Pt 2.84, 3 Se 2.98
Y 0.7551 0.2654 0.5101  2 Pt 2.85, 1 P 2.85, 3 Se 2.97
Y 0.7551 0.2654 0.0103  2 Pt 2.85, 1 P 2.85, 3 Se 2.97
P 0.0000 0.5000 0.0000  6 Y 2.85
Pt 0.5000 0.5000 0.0000  6 Y 2.84-2.85
Pt 0.5000 0.5000 0.5000  6 Y 2.84-2.85
Pt 0.0000 0.5000 0.5000  6 Y 2.84-2.85
Se 0.5000 0.0000 0.0000  6 Y 2.97
Se 0.5000 0.0000 0.5000  6 Y 2.97-2.98
Se 0.0000 0.0000 0.0000  6 Y 2.97-2.98
Se 0.0000 0.0000 0.5000  6 Y 2.97-2.98

Output
- uncorrected formation energy (eV per atom) = -1.52
- theoretical density (g/cm³) = 6.9
- DFT total energy (eV per atom) = -7.092
- space-group type = No. 166



Question: Among the records above, which one has the lowest theoretical density?
Answer: K3FeS3



Question: Look up the DFT total energy of the sixth one.
Answer: -1.788 eV per atom



What did the eighth record say?
Rb2GeAuI6: optimized geometry, GGA-PBE.

Cell: 8.2615 8.2615 8.2948 Å, 60.13 60.13 90.00°
With the nearest neighbours (Å) after each atom.
Element x y z (fractional)
I 0.2524 0.2524 0.4953  1 Ge 2.92, 1 Au 2.97
I 0.7476 0.7476 0.5047  1 Ge 2.92, 1 Au 2.97
I 0.2500 0.2500 0.0000  1 Ge 2.92, 1 Au 2.92
I 0.7500 0.7500 0.0000  1 Ge 2.92, 1 Au 2.92
I 0.7500 0.2500 0.0000  1 Ge 2.92, 1 Au 2.92
I 0.2500 0.7500 0.0000  1 Ge 2.92, 1 Au 2.92
Ge 0.5000 0.5000 0.0000  6 I 2.92
Au 0.0000 0.0000 0.0000  6 I 2.92-2.97
Rb 0.7500 0.2500 0.5000  12 I 4.13-4.15
Rb 0.2500 0.7500 0.5000  12 I 4.13-4.15

Output
- uncorrected formation energy (eV per atom) = -0.67
- theoretical density (g/cm³) = 5.0
- DFT total energy (eV per atom) = -2.585
- space-group type = No. 139